The following is a PBEsol calculation of an optimized crystal structure of In2TeRu, from the Alexandria database.

## Properties
As for the crystal system: orthorhombic. The calculation puts the uncorrected energy at -4.874 eV per atom. The formation energy without anion corrections is 42 meV per atom.

Cell lengths 3.1498, 3.1935, 8.7606 Å; angles 90.00, 90.00, 90.00 degrees
Closest atoms and distances in Å follow each position.
Space group Pmmm (No. 47)
Symmetry-distinct sites (fractional):
1 In 0.0000 0.0000 0.1802 [2 per cell]  4 Ru 2.74
2 Te 0.0000 0.5000 0.5000 [1 per cell]  4 Te 3.15-3.19, 4 In 3.22
3 Ru 0.5000 0.5000 0.0000 [1 per cell]  8 In 2.74